(1)
# TiPb2Se | Alexandria | PBE-GGA | optimized geometry
# **Uncorrected energy**: -4.184 eV/atom
# **Crystal system**: tetragonal
# **Uncorrected formation energy**: 0.52 eV per atom
# **Magnetization**: 0.0000 μB per atom
data_TiPb2Se
_chemical_formula_sum 'Ti4 Pb8 Se4'
_cell_length_a 6.5137
_cell_length_b 6.5137
_cell_length_c 13.4222
_cell_angle_alpha 90.00
_cell_angle_beta 90.00
_cell_angle_gamma 90.00
_symmetry_space_group_name_H-M 'I -4 2 d'
_symmetry_Int_Tables_number 122
_symmetry_space_group_name_Hall 'I -4 2bw'
loop_
_atom_site_label
_atom_site_type_symbol
_atom_site_fract_x
_atom_site_fract_y
_atom_site_fract_z
Ti1 Ti 0.0000 0.0000 0.0000
Pb1 Pb 0.2373 0.2500 0.1250
Se1 Se 0.0000 0.0000 0.5000

(2)
# TiPbSe | Alexandria | PBE-GGA | optimized geometry
# **Energy above the most stable polymorph in this dataset**: 114 meV/atom
# **Uncorrected energy**: -5.604 eV/atom
# **Crystal system**: monoclinic
# **Uncorrected formation energy**: -0.57 eV per atom
# **Magnetization**: 0.0001 μB per atom
data_TiPbSe
_chemical_formula_sum 'Ti4 Pb4 Se4'
_cell_length_a 9.0852
_cell_length_b 3.3769
_cell_length_c 9.8033
_cell_angle_alpha 90.00
_cell_angle_beta 112.51
_cell_angle_gamma 90.00
_symmetry_space_group_name_H-M 'C 1 m 1'
_symmetry_Int_Tables_number 8
_symmetry_space_group_name_Hall 'C -2y'
loop_
_atom_site_label
_atom_site_type_symbol
_atom_site_fract_x
_atom_site_fract_y
_atom_site_fract_z
Ti1 Ti 0.0000 0.0000 0.0000
Ti2 Ti 0.1219 0.5000 0.7816
Pb1 Pb 0.0551 0.0000 0.4826
Pb2 Pb 0.1991 0.5000 0.2698
Se1 Se 0.2785 0.0000 0.9883
Se2 Se 0.3908 0.5000 0.7241

(3)
# Ti2PbSe2 | Alexandria | PBE-GGA | optimized geometry
# **Energy above the most stable polymorph in this dataset**: 0 meV/atom
# **Uncorrected energy**: -5.877 eV/atom
# **Crystal system**: tetragonal
# **Uncorrected formation energy**: -0.58 eV per atom
# **Magnetization**: 0.0000 μB per atom
data_Ti2PbSe2
_chemical_formula_sum 'Ti4 Pb2 Se4'
_cell_length_a 7.6257
_cell_length_b 7.6257
_cell_length_c 3.3211
_cell_angle_alpha 90.00
_cell_angle_beta 90.00
_cell_angle_gamma 90.00
_symmetry_space_group_name_H-M 'P 4/m b m'
_symmetry_Int_Tables_number 127
_symmetry_space_group_name_Hall '-P 4 2ab'
loop_
_atom_site_label
_atom_site_type_symbol
_atom_site_fract_x
_atom_site_fract_y
_atom_site_fract_z
Ti1 Ti 0.1407 0.3593 0.0000
Pb1 Pb 0.0000 0.0000 0.0000
Se1 Se 0.1386 0.6386 0.5000

(4)
# Ti2PbSe | Alexandria | PBE-GGA | optimized geometry
# **Energy above the most stable polymorph in this dataset**: 592 meV/atom
# **Uncorrected energy**: -5.592 eV/atom
# **Crystal system**: tetragonal
# **Uncorrected formation energy**: 0.15 eV per atom
# **Magnetization**: 0.4744 μB per atom
data_Ti2PbSe
_chemical_formula_sum 'Ti8 Pb4 Se4'
_cell_length_a 5.7221
_cell_length_b 5.7221
_cell_length_c 13.5046
_cell_angle_alpha 90.00
_cell_angle_beta 90.00
_cell_angle_gamma 90.00
_symmetry_space_group_name_H-M 'I -4 2 d'
_symmetry_Int_Tables_number 122
_symmetry_space_group_name_Hall 'I -4 2bw'
loop_
_atom_site_label
_atom_site_type_symbol
_atom_site_fract_x
_atom_site_fract_y
_atom_site_fract_z
Ti1 Ti 0.2039 0.2500 0.1250
Pb1 Pb 0.0000 0.0000 0.5000
Se1 Se 0.0000 0.0000 0.0000

(5)
# Ti2PbSe | Alexandria | PBE-GGA | optimized geometry
# **Energy above the most stable polymorph in this dataset**: 318 meV/atom
# **Uncorrected energy**: -5.865 eV/atom
# **Crystal system**: cubic
# **Uncorrected formation energy**: -0.12 eV per atom
# **Magnetization**: 0.3618 μB per atom
data_Ti2PbSe
_chemical_formula_sum 'Ti8 Pb4 Se4'
_cell_length_a 6.7544
_cell_length_b 6.7544
_cell_length_c 6.7544
_cell_angle_alpha 90.00
_cell_angle_beta 90.00
_cell_angle_gamma 90.00
_symmetry_space_group_name_H-M 'F m -3 m'
_symmetry_Int_Tables_number 225
_symmetry_space_group_name_Hall '-F 4 2 3'
loop_
_atom_site_label
_atom_site_type_symbol
_atom_site_fract_x
_atom_site_fract_y
_atom_site_fract_z
Ti1 Ti 0.2500 0.2500 0.2500
Pb1 Pb 0.0000 0.0000 0.0000
Se1 Se 0.0000 0.0000 0.5000

(6)
# Ti4PbSe8 | Alexandria | PBE-GGA | optimized geometry
# **Energy above the most stable polymorph in this dataset**: 0 meV/atom
# **Uncorrected energy**: -5.897 eV/atom
# **Crystal system**: trigonal
# **Uncorrected formation energy**: -1.04 eV per atom
# **Magnetization**: 0.0038 μB per atom
data_Ti4PbSe8
_chemical_formula_sum 'Ti12 Pb3 Se24'
_cell_length_a 7.1734
_cell_length_b 7.1734
_cell_length_c 22.3997
_cell_angle_alpha 90.00
_cell_angle_beta 90.00
_cell_angle_gamma 120.00
_symmetry_space_group_name_H-M 'R -3 m'
_symmetry_Int_Tables_number 166
_symmetry_space_group_name_Hall '-R 3 2"'
loop_
_atom_site_label
_atom_site_type_symbol
_atom_site_fract_x
_atom_site_fract_y
_atom_site_fract_z
Ti1 Ti 0.0000 0.0000 0.0000
Ti2 Ti 0.0000 0.5000 0.0000
Pb1 Pb 0.0000 0.0000 0.5000
Se1 Se 0.0000 0.0000 0.2651
Se2 Se 0.0031 0.5016 0.7360

(7)
# Ti2PbSe | Alexandria | PBE-GGA | optimized geometry
# **Energy above the most stable polymorph in this dataset**: 0 meV/atom
# **Uncorrected energy**: -6.184 eV/atom
# **Crystal system**: trigonal
# **Uncorrected formation energy**: -0.44 eV per atom
# **Magnetization**: 0.0000 μB per atom
data_Ti2PbSe
_chemical_formula_sum 'Ti6 Pb3 Se3'
_cell_length_a 3.6500
_cell_length_b 3.6500
_cell_length_c 20.9011
_cell_angle_alpha 90.00
_cell_angle_beta 90.00
_cell_angle_gamma 120.00
_symmetry_space_group_name_H-M 'R 3 m'
_symmetry_Int_Tables_number 160
_symmetry_space_group_name_Hall 'R 3 -2"'
loop_
_atom_site_label
_atom_site_type_symbol
_atom_site_fract_x
_atom_site_fract_y
_atom_site_fract_z
Ti1 Ti 0.0000 0.0000 0.0000
Ti2 Ti 0.0000 0.0000 0.2002
Pb1 Pb 0.0000 0.0000 0.4318
Se1 Se 0.0000 0.0000 0.6007

(8)
# Ti8Pb2Se | Alexandria | PBE-GGA | optimized geometry
# **Uncorrected energy**: -6.906 eV/atom
# **Crystal system**: monoclinic
# **Uncorrected formation energy**: -0.17 eV per atom
# **Magnetization**: 0.0000 μB per atom
data_Ti8Pb2Se
_chemical_formula_sum 'Ti16 Pb4 Se2'
_cell_length_a 15.7008
_cell_length_b 4.8237
_cell_length_c 5.2340
_cell_angle_alpha 90.00
_cell_angle_beta 93.94
_cell_angle_gamma 90.00
_symmetry_space_group_name_H-M 'C 1 2/m 1'
_symmetry_Int_Tables_number 12
_symmetry_space_group_name_Hall '-C 2y'
loop_
_atom_site_label
_atom_site_type_symbol
_atom_site_fract_x
_atom_site_fract_y
_atom_site_fract_z
Ti1 Ti 0.0431 0.0000 0.2591
Ti2 Ti 0.0868 0.5000 0.5435
Ti3 Ti 0.1637 0.5000 0.1086
Ti4 Ti 0.2344 0.0000 0.3351
Pb1 Pb 0.1514 0.0000 0.7958
Se1 Se 0.0000 0.5000 0.0000

(9)
# TiPbSe2 | Alexandria | PBE-GGA | optimized geometry
# **Uncorrected energy**: -4.744 eV/atom
# **Crystal system**: trigonal
# **Uncorrected formation energy**: -0.10 eV per atom
# **Magnetization**: 0.4230 μB per atom
data_TiPbSe2
_chemical_formula_sum 'Ti3 Pb3 Se6'
_cell_length_a 4.2537
_cell_length_b 4.2537
_cell_length_c 25.0317
_cell_angle_alpha 90.00
_cell_angle_beta 90.00
_cell_angle_gamma 120.00
_symmetry_space_group_name_H-M 'R -3 m'
_symmetry_Int_Tables_number 166
_symmetry_space_group_name_Hall '-R 3 2"'
loop_
_atom_site_label
_atom_site_type_symbol
_atom_site_fract_x
_atom_site_fract_y
_atom_site_fract_z
Ti1 Ti 0.0000 0.0000 0.0000
Pb1 Pb 0.0000 0.0000 0.5000
Se1 Se 0.0000 0.0000 0.0965

(10)
# Ti2PbSe2 | Alexandria | PBE-GGA | optimized geometry
# **Energy above the most stable polymorph in this dataset**: 5 meV/atom
# **Uncorrected energy**: -5.871 eV/atom
# **Crystal system**: tetragonal
# **Uncorrected formation energy**: -0.58 eV per atom
# **Magnetization**: 0.0000 μB per atom
data_Ti2PbSe2
_chemical_formula_sum 'Ti4 Pb2 Se4'
_cell_length_a 4.6311
_cell_length_b 4.6311
_cell_length_c 10.1177
_cell_angle_alpha 90.00
_cell_angle_beta 90.00
_cell_angle_gamma 90.00
_symmetry_space_group_name_H-M 'I 4/m m m'
_symmetry_Int_Tables_number 139
_symmetry_space_group_name_Hall '-I 4 2'
loop_
_atom_site_label
_atom_site_type_symbol
_atom_site_fract_x
_atom_site_fract_y
_atom_site_fract_z
Ti1 Ti 0.0000 0.5000 0.2500
Pb1 Pb 0.0000 0.0000 0.0000
Se1 Se 0.0000 0.0000 0.3501

(11)
# TiPbSe2 | Alexandria | PBE-GGA | optimized geometry
# **Uncorrected energy**: -5.449 eV/atom
# **Crystal system**: trigonal
# **Uncorrected formation energy**: -0.81 eV per atom
# **Magnetization**: 0.0388 μB per atom
data_TiPbSe2
_chemical_formula_sum 'Ti3 Pb3 Se6'
_cell_length_a 3.5605
_cell_length_b 3.5605
_cell_length_c 25.8411
_cell_angle_alpha 90.00
_cell_angle_beta 90.00
_cell_angle_gamma 120.00
_symmetry_space_group_name_H-M 'R 3 m'
_symmetry_Int_Tables_number 160
_symmetry_space_group_name_Hall 'R 3 -2"'
loop_
_atom_site_label
_atom_site_type_symbol
_atom_site_fract_x
_atom_site_fract_y
_atom_site_fract_z
Ti1 Ti 0.0000 0.0000 0.0000
Pb1 Pb 0.0000 0.0000 0.1655
Se1 Se 0.0000 0.0000 0.3936
Se2 Se 0.0000 0.0000 0.6060

(12)
# TiPb3Se | Alexandria | PBE-GGA | optimized geometry
# **Energy above the most stable polymorph in this dataset**: 0 meV/atom
# **Uncorrected energy**: -4.148 eV/atom
# **Crystal system**: cubic
# **Uncorrected formation energy**: 0.35 eV per atom
# **Magnetization**: 0.0000 μB per atom
data_TiPb3Se
_chemical_formula_sum 'Ti1 Pb3 Se1'
_cell_length_a 5.4393
_cell_length_b 5.4393
_cell_length_c 5.4393
_cell_angle_alpha 90.00
_cell_angle_beta 90.00
_cell_angle_gamma 90.00
_symmetry_space_group_name_H-M 'P m -3 m'
_symmetry_Int_Tables_number 221
_symmetry_space_group_name_Hall '-P 4 2 3'
loop_
_atom_site_label
_atom_site_type_symbol
_atom_site_fract_x
_atom_site_fract_y
_atom_site_fract_z
Ti1 Ti 0.0000 0.0000 0.0000
Pb1 Pb 0.0000 0.0000 0.5000
Se1 Se 0.5000 0.5000 0.5000

Repeat the first record exactly.
# TiPb2Se | Alexandria | PBE-GGA | optimized geometry
# **Uncorrected energy**: -4.184 eV/atom
# **Crystal system**: tetragonal
# **Uncorrected formation energy**: 0.52 eV per atom
# **Magnetization**: 0.0000 μB per atom
data_TiPb2Se
_chemical_formula_sum 'Ti4 Pb8 Se4'
_cell_length_a 6.5137
_cell_length_b 6.5137
_cell_length_c 13.4222
_cell_angle_alpha 90.00
_cell_angle_beta 90.00
_cell_angle_gamma 90.00
_symmetry_space_group_name_H-M 'I -4 2 d'
_symmetry_Int_Tables_number 122
_symmetry_space_group_name_Hall 'I -4 2bw'
loop_
_atom_site_label
_atom_site_type_symbol
_atom_site_fract_x
_atom_site_fract_y
_atom_site_fract_z
Ti1 Ti 0.0000 0.0000 0.0000
Pb1 Pb 0.2373 0.2500 0.1250
Se1 Se 0.0000 0.0000 0.5000